1.
{
  "formula": "Ba2CoTcP",
  "functional": "PBE",
  "state": "optimized geometry",
  "cell": [[6.187, 0.000, 0.000], [0.000, 6.187, 0.000], [0.000, 0.000, 4.467]],
  "species": ["Ba", "Ba", "Co", "Tc", "P"],
  "fractional_positions": [[0.000, 0.500, 0.000], [0.500, 0.000, 0.000], [0.000, 0.000, 0.500], [0.500, 0.500, 0.500], [0.500, 0.500, 0.000]],
  "crystal_system": "tetragonal",
  "formation_energy_ev_per_atom": 0.44,
  "sg": "No. 123",
  "total_energy_ev_per_atom": -4.91
}

---

2.
{
  "formula": "BaZnCoP",
  "functional": "PBE",
  "state": "optimized geometry",
  "cell": [[3.806, 0.000, 0.000], [0.000, 3.806, 0.000], [0.000, 0.000, 12.307]],
  "species": ["Ba", "Ba", "Zn", "Zn", "Co", "Co", "P", "P"],
  "fractional_positions": [[0.250, 0.250, 0.237], [0.750, 0.750, 0.763], [0.250, 0.750, 0.500], [0.750, 0.250, 0.500], [0.250, 0.750, 0.000], [0.750, 0.250, 0.000], [0.250, 0.250, 0.906], [0.750, 0.750, 0.094]],
  "crystal_system": "tetragonal",
  "formation_energy_ev_per_atom": -0.55,
  "sg": "No. 129",
  "total_energy_ev_per_atom": -4.48
}

---

3.
{
  "formula": "BaPaCoS4",
  "functional": "PBE",
  "state": "optimized geometry",
  "cell": [[6.499, 0.000, 0.000], [0.000, 5.898, 0.000], [-2.438, 0.000, 8.171]],
  "species": ["Ba", "Ba", "Pa", "Pa", "Co", "Co", "S", "S", "S", "S", "S", "S", "S", "S"],
  "fractional_positions": [[0.244, 0.250, 0.443], [0.756, 0.750, 0.557], [0.243, 0.250, 0.946], [0.757, 0.750, 0.054], [0.265, 0.750, 0.158], [0.735, 0.250, 0.842], [0.069, 0.750, 0.907], [0.071, 0.750, 0.339], [0.484, 0.508, 0.788], [0.484, 0.992, 0.788], [0.516, 0.008, 0.212], [0.516, 0.492, 0.212], [0.929, 0.250, 0.661], [0.931, 0.250, 0.093]],
  "crystal_system": "monoclinic",
  "e_form_raw_ev_per_atom": -1.406,
  "sg": "No. 11",
  "total_energy_ev_per_atom": -6.41
}

---

4.
{
  "formula": "Ba2PaCoS5",
  "functional": "PBE",
  "state": "optimized geometry",
  "cell": [[2.050, -8.807, 0.000], [2.050, 8.807, 0.000], [0.000, 0.000, 13.058]],
  "species": ["Ba", "Ba", "Ba", "Ba", "Pa", "Pa", "Co", "Co", "S", "S", "S", "S", "S", "S", "S", "S", "S", "S"],
  "fractional_positions": [[0.117, 0.883, 0.500], [0.118, 0.882, 0.146], [0.882, 0.118, 0.646], [0.883, 0.117, 0.000], [0.188, 0.812, 0.827], [0.812, 0.188, 0.327], [0.435, 0.565, 0.241], [0.565, 0.435, 0.741], [0.040, 0.960, 0.819], [0.305, 0.695, 0.467], [0.309, 0.691, 0.189], [0.337, 0.663, 0.823], [0.495, 0.505, 0.088], [0.505, 0.495, 0.588], [0.663, 0.337, 0.323], [0.691, 0.309, 0.689], [0.695, 0.305, 0.967], [0.960, 0.040, 0.319]],
  "crystal_system": "orthorhombic",
  "e_form_raw_ev_per_atom": -1.584,
  "sg": "No. 36",
  "total_energy_ev_per_atom": -6.15
}